Entry 1:
A plane-wave DFT calculation with PBE was carried out for a relaxed structure of TaFeCo2.

Unit cell a=2.7024 b=2.7024 c=24.9835 alpha=90.00 beta=90.00 gamma=120.00
Space group R-3m (No. 166, hexagonal axes)
Unique sites:
1 Ta 0.0000 0.0000 0.0000 [3 per cell]
2 Fe 0.0000 0.0000 0.5000 [3 per cell]
3 Co 0.0000 0.0000 0.2435 [6 per cell]

Computed properties:
Energy of formation from the pure elements in eV/atom: 0.20
Total moment in μB/cell: 14.6
Relative energy among the computed polymorphs in meV per atom: 375
Raw total energy in eV/cell: -101.2
Volume in A^3/atom: 13.2

=====

Entry 2:
A plane-wave DFT calculation with PBE was carried out for a relaxed structure of CsPm2AgS4.

Unit cell a=4.197 b=14.326 c=14.521 alpha=90.00 beta=90.00 gamma=90.00
Space group Cmcm (No. 63)
Unique sites:
1 Cs 0.000 0.112 0.250 [4 per cell]
2 Pm 0.000 0.368 0.063 [8 per cell]
3 Ag 0.000 0.166 0.750 [4 per cell]
4 S 0.000 0.000 0.000 [4 per cell]
5 S 0.000 0.257 0.600 [8 per cell]
6 S 0.000 0.431 0.250 [4 per cell]

Computed properties:
Total moment in μB/cell: 0.0
Raw total energy in eV/cell: -169.3
Raw formation energy in kcal/mol of atoms: -36.3
Volume in A^3/atom: 27.3

=====

Which value of volume does entry 1 give? 13.2 A^3/atom

=====

Which of these has the lowest total moment? CsPm2AgS4

=====

Among the records above, which one has the highest volume? CsPm2AgS4

=====

Which formula does entry 1 have? TaFeCo2